1.
Compound: TlIn2Pt
Source: the Alexandria database
Functional: PBE
Structure: optimized geometry

a b c (Å): 7.3802 7.3802 7.3802
angles (deg): 154.54 144.60 44.11
With the nearest neighbours (Å) after each atom.
Sites, in units of the cell vectors:
In  0.9978  0.9978  0.0000  4 Pt 2.78
In  0.6807  0.1807  0.5000  2 Pt 2.84
Pt  0.5106  0.5106  0.0000  6 In 2.78-2.84
Tl  0.3109  0.8109  0.5000  2 Pt 3.18, 2 Tl 3.25, 6 In 3.29-3.40

Offset from the most stable computed form   23 meV/atom
Calculated volume   24.97 A^3/atom
D(E_F)   1.68 states/eV/cell


2.
Compound: TlIn2Pt
Source: the Alexandria database
Functional: PBE
Structure: optimized geometry

a b c (Å): 8.9438 8.9438 6.8703
angles (deg): 49.39 49.39 90.00
With the nearest neighbours (Å) after each atom.
Sites, in units of the cell vectors:
Tl  0.0000  0.0000  0.0000  2 Pt 2.68
Tl  0.7500  0.2500  0.5000  2 Pt 2.68
Pt  0.5000  0.5000  0.0000  2 Tl 2.68, 4 In 2.76
Pt  0.2500  0.7500  0.5000  2 Tl 2.68, 4 In 2.76
In  0.5392  0.1250  0.2500  2 Pt 2.76
In  0.2108  0.6250  0.2500  2 Pt 2.76
In  0.3750  0.4608  0.7500  2 Pt 2.76
In  0.8750  0.7892  0.7500  2 Pt 2.76

Offset from the most stable computed form   74 meV/atom
Calculated volume   26.84 A^3/atom
D(E_F)   4.27 states/eV/cell


3.
Compound: TlIn2Pt
Source: the Alexandria database
Functional: PBE
Structure: optimized geometry

a b c (Å): 5.1398 5.1398 6.5361
angles (deg): 67.74 67.74 40.42
With the nearest neighbours (Å) after each atom.
Sites, in units of the cell vectors:
In  0.9906  0.9906  0.9794  2 Pt 2.75, 1 Tl 3.05
In  0.8088  0.8088  0.6198  3 Pt 2.72-2.76
Pt  0.5209  0.5209  0.6426  5 In 2.72-2.76, 2 Tl 2.95
Tl  0.1796  0.1796  0.2582  2 Pt 2.95, 1 In 3.05

Offset from the most stable computed form   10 meV/atom
Calculated volume   25.61 A^3/atom
D(E_F)   1.47 states/eV/cell


4.
Compound: TlIn2Pt
Source: the Alexandria database
Functional: PBE
Structure: optimized geometry

a b c (Å): 3.4948 3.2435 8.6804
angles (deg): 77.80 90.00 90.00
With the nearest neighbours (Å) after each atom.
Sites, in units of the cell vectors:
In  0.0000  0.8704  0.0594  4 Pt 2.86-2.90
In  0.0000  0.6296  0.4406  4 Pt 2.86-2.90
Pt  0.5000  0.2500  0.2500  8 In 2.86-2.90
Tl  0.5000  0.7500  0.7500  4 Tl 3.24-3.49, 4 In 3.30

Offset from the most stable computed form   6 meV/atom
Calculated volume   24.04 A^3/atom
D(E_F)   1.86 states/eV/cell